Entry 1:
GeRuRh3 (PBE-GGA, optimized geometry); DOS at the Fermi energy = 5.95 states/eV/cell; crystal system = cubic; symmetry = Pm-3m
1.0
4.671 0.000 0.000
0.000 4.671 0.000
0.000 0.000 4.671
Ge Ru Rh
1 1 3
Direct
0.000 0.000 0.000
0.500 0.500 0.500
0.000 0.500 0.500
0.500 0.000 0.500
0.500 0.500 0.000


Entry 2:
TaIr2Cl (PBE-GGA, optimized geometry); energy relative to the elements, uncorrected = 118 meV per atom; DOS at the Fermi energy = 1.58 states/eV/cell; crystal system = monoclinic; symmetry = P2/m
1.0
2.877 0.000 0.000
0.000 4.234 0.000
-1.241 0.000 5.114
Ta Ir Cl
1 2 1
Direct
0.000 0.000 0.000
0.373 0.500 0.744
0.627 0.500 0.256
0.000 0.000 0.500


Number 1: relative energy among the computed polymorphs 0.3165 eV/atom. Number 2: relative energy among the computed polymorphs 0.1307 eV/atom.